DFT (GGA-PBEsol) results for a relaxed AgPt crystal.

The space group is Pmmm (No. 47) and the conventional cell measures 4.0511, 5.5364 and 8.3500 Å, with angles of 90.00, 90.00 and 90.00 degrees. The distinct sites, in fractional coordinates, are Ag at (0.0000, 0.0000, 0.0000), Ag at (0.0000, 0.0000, 0.3314), Ag at (0.0000, 0.5000, 0.0000), Ag at (0.5000, 0.2520, 0.5000), Pt at (0.0000, 0.5000, 0.3308) and Pt at (0.5000, 0.2537, 0.1660).

The calculation puts the calculated density at 16.117 g cm⁻³. Its formation energy is 0.05 eV per atom. The value obtained for the total energy is -0.187 Ha/atom. As for the crystal system: orthorhombic. Its total magnetic moment is 0.0 μB per formula unit. The calculation puts the calculated volume at 15.61 Å³/atom.